No. 1
The following is a DFT calculation (GGA-PBEsol) of crystalline Al2TlZn at its relaxed geometry.

Unit cell a=3.0784 b=5.1198 c=9.8940 alpha=90.00 beta=90.00 gamma=90.00
With the nearest neighbours (Å) after each atom.
Space group Imm2 (No. 44)
Symmetry-distinct sites (fractional):
Al (0.0000, 0.0000, 0.0000)  4 Al 2.82-3.08, 4 Zn 3.01, 2 Tl 3.15
Al (0.0000, 0.5000, 0.2608)  2 Zn 2.67, 2 Al 2.82
Tl (0.0000, 0.5000, 0.7781)  6 Al 2.99-3.15, 2 Zn 3.01, 2 Tl 3.08
Zn (0.0000, 0.0000, 0.5402)  2 Al 2.67

The value obtained for the energy above the most stable polymorph in this dataset is 77 meV/atom. For the energy relative to the elements, the calculation gives 0.26 eV/atom. As for the crystal system: orthorhombic.


No. 2
The following is a DFT calculation (GGA-PBEsol) of crystalline ZrAlTl at its relaxed geometry.

Unit cell a=3.1587 b=3.1587 c=7.3489 alpha=90.00 beta=90.00 gamma=120.00
With the nearest neighbours (Å) after each atom.
Space group P3m1 (No. 156)
Symmetry-distinct sites (fractional):
Zr (0.0000, 0.0000, 0.0000)  3 Al 2.95, 6 Zr 3.16, 3 Tl 3.17
Al (0.6667, 0.3333, 0.6851)  3 Zr 2.95, 3 Tl 3.04, 6 Al 3.16
Tl (0.3333, 0.6667, 0.3535)  3 Al 3.04, 6 Tl 3.16, 3 Zr 3.17

For the energy relative to the elements, the calculation gives 0.01 eV/atom. As for the crystal system: trigonal.


No. 3
The following is a DFT calculation (GGA-PBEsol) of crystalline ZrAl2Tl at its relaxed geometry.

Unit cell a=3.0348 b=3.0348 c=9.0303 alpha=90.00 beta=90.00 gamma=90.00
With the nearest neighbours (Å) after each atom.
Space group P4/mmm (No. 123)
Symmetry-distinct sites (fractional):
Zr (0.0000, 0.0000, 0.0000)  8 Al 2.93, 4 Zr 3.03
Al (0.5000, 0.5000, 0.2213)  4 Zr 2.93, 4 Al 3.03
Tl (0.0000, 0.0000, 0.5000)  4 Tl 3.03, 8 Al 3.31

The value obtained for the energy above the most stable polymorph in this dataset is 29 meV/atom. For the energy relative to the elements, the calculation gives -0.06 eV/atom. As for the crystal system: tetragonal.


No. 4
The following is a DFT calculation (GGA-PBEsol) of crystalline Zr2AlTl at its relaxed geometry.

Unit cell a=6.1397 b=8.5483 c=3.0979 alpha=90.00 beta=90.00 gamma=90.00
With the nearest neighbours (Å) after each atom.
Space group Cmmm (No. 65)
Symmetry-distinct sites (fractional):
Zr (0.2500, 0.2500, 0.0000)  4 Tl 3.05, 4 Al 3.05, 4 Zr 3.07-3.10
Al (0.0000, 0.0000, 0.5000)  8 Zr 3.05, 2 Tl 3.07, 2 Al 3.10
Tl (0.0000, 0.5000, 0.5000)  8 Zr 3.05, 2 Al 3.07, 2 Tl 3.10

For the energy relative to the elements, the calculation gives -0.28 eV/atom. As for the crystal system: orthorhombic.


No. 5
The following is a DFT calculation (GGA-PBEsol) of crystalline ZrAl2Tl at its relaxed geometry.

Unit cell a=3.1796 b=3.1796 c=28.5242 alpha=90.00 beta=90.00 gamma=120.00
With the nearest neighbours (Å) after each atom.
Space group R-3m (No. 166, hexagonal axes)
Symmetry-distinct sites (fractional):
Zr (0.0000, 0.0000, 0.0000)  6 Al 2.93, 6 Zr 3.18
Al (0.0000, 0.0000, 0.2532)  3 Zr 2.93, 3 Tl 3.08, 6 Al 3.18
Tl (0.0000, 0.0000, 0.5000)  6 Al 3.08, 6 Tl 3.18

The value obtained for the energy above the most stable polymorph in this dataset is 93 meV/atom. For the energy relative to the elements, the calculation gives 0.01 eV/atom. As for the crystal system: trigonal.


No. 6
The following is a DFT calculation (GGA-PBEsol) of crystalline Zr2AlTl at its relaxed geometry.

Unit cell a=4.3346 b=4.3346 c=4.3081 alpha=90.00 beta=90.00 gamma=90.00
With the nearest neighbours (Å) after each atom.
Space group P4/mmm (No. 123)
Symmetry-distinct sites (fractional):
Zr (0.0000, 0.5000, 0.0000)  4 Tl 3.06, 4 Al 3.06, 4 Zr 3.06
Al (0.0000, 0.0000, 0.5000)  8 Zr 3.06, 4 Tl 3.06
Tl (0.5000, 0.5000, 0.5000)  8 Zr 3.06, 4 Al 3.06

For the energy relative to the elements, the calculation gives -0.28 eV/atom. As for the crystal system: tetragonal.


No. 7
The following is a DFT calculation (GGA-PBEsol) of crystalline Zr2AlTl at its relaxed geometry.

Unit cell a=4.3289 b=4.3289 c=8.6201 alpha=90.00 beta=90.00 gamma=90.00
With the nearest neighbours (Å) after each atom.
Space group I4/mmm (No. 139)
Symmetry-distinct sites (fractional):
Zr (0.0000, 0.5000, 0.2500)  4 Al 3.05, 4 Tl 3.05, 4 Zr 3.06
Al (0.0000, 0.0000, 0.0000)  8 Zr 3.05, 4 Tl 3.06
Tl (0.0000, 0.0000, 0.5000)  8 Zr 3.05, 4 Al 3.06

For the energy relative to the elements, the calculation gives -0.29 eV/atom. As for the crystal system: tetragonal.


No. 8
The following is a DFT calculation (GGA-PBEsol) of crystalline Zr2AlTl at its relaxed geometry.

Unit cell a=3.0878 b=4.2693 c=6.1460 alpha=90.00 beta=90.00 gamma=90.00
With the nearest neighbours (Å) after each atom.
Space group Pmmm (No. 47)
Symmetry-distinct sites (fractional):
Zr (0.0000, 0.0000, 0.2409)  4 Zr 2.96-3.19, 4 Al 3.02, 4 Tl 3.08
Al (0.5000, 0.5000, 0.0000)  8 Zr 3.02, 2 Tl 3.07, 2 Al 3.09
Tl (0.5000, 0.5000, 0.5000)  2 Al 3.07, 8 Zr 3.08, 2 Tl 3.09

For the energy relative to the elements, the calculation gives -0.29 eV/atom. As for the crystal system: orthorhombic.


No. 9
The following is a DFT calculation (GGA-PBEsol) of crystalline ZrAl2Tl at its relaxed geometry.

Unit cell a=3.2053 b=3.9291 c=6.1813 alpha=90.00 beta=90.00 gamma=90.00
With the nearest neighbours (Å) after each atom.
Space group Pmm2 (No. 25)
Symmetry-distinct sites (fractional):
Zr (0.0000, 0.0000, 0.0000)  5 Al 2.86-2.94, 4 Tl 3.09
Al (0.0000, 0.0000, 0.4626)  1 Zr 2.86, 4 Al 2.88, 4 Tl 2.97
Al (0.5000, 0.5000, 0.2407)  6 Al 2.88-3.21, 1 Tl 2.92, 4 Zr 2.94
Tl (0.5000, 0.5000, 0.7136)  6 Al 2.92-3.26, 4 Zr 3.09, 2 Tl 3.21

The value obtained for the energy above the most stable polymorph in this dataset is 0 meV/atom. For the energy relative to the elements, the calculation gives -0.09 eV/atom. As for the crystal system: orthorhombic.


No. 10
The following is a DFT calculation (GGA-PBEsol) of crystalline Zr2AlTl at its relaxed geometry.

Unit cell a=10.2344 b=3.3441 c=5.1781 alpha=90.00 beta=107.92 gamma=90.00
With the nearest neighbours (Å) after each atom.
Space group C2/m (No. 12)
Symmetry-distinct sites (fractional):
Zr (0.2444, 0.0000, 0.2429)  3 Al 2.95-3.23, 3 Tl 3.04-3.17, 4 Zr 3.05-3.12
Al (0.0000, 0.5000, 0.0000)  6 Zr 2.95-3.23, 4 Tl 3.08
Tl (0.0000, 0.0000, 0.5000)  6 Zr 3.04-3.17, 4 Al 3.08, 2 Tl 3.34

For the energy relative to the elements, the calculation gives -0.12 eV/atom. As for the crystal system: monoclinic.


No. 11
The following is a DFT calculation (GGA-PBEsol) of crystalline Tm3Al2 at its relaxed geometry.

Unit cell a=8.0216 b=8.0216 c=7.4047 alpha=90.00 beta=90.00 gamma=90.00
With the nearest neighbours (Å) after each atom.
Space group P4_2/mnm (No. 136)
Symmetry-distinct sites (fractional):
Tm (0.0000, 0.5000, 0.2500)  4 Al 3.22, 8 Tm 3.43-3.58
Tm (0.1490, 0.1490, 0.0000)  6 Al 2.99-3.13
Tm (0.2021, 0.2021, 0.5000)  6 Al 3.02-3.04
Al (0.1203, 0.8797, 0.3044)  2 Al 2.73-2.90, 4 Tm 2.99-3.04

For the energy relative to the elements, the calculation gives -0.32 eV/atom. As for the crystal system: tetragonal.


No. 12
The following is a DFT calculation (GGA-PBEsol) of crystalline Tm3Al at its relaxed geometry.

Unit cell a=6.6153 b=6.6153 c=5.1686 alpha=90.00 beta=90.00 gamma=120.00
With the nearest neighbours (Å) after each atom.
Space group P6_3/mmc (No. 194)
Symmetry-distinct sites (fractional):
Tm (0.1736, 0.3473, 0.2500)  4 Al 3.17-3.31, 8 Tm 3.17-3.45
Al (0.3333, 0.6667, 0.7500)  12 Tm 3.17-3.31

For the energy relative to the elements, the calculation gives -0.22 eV/atom. As for the crystal system: hexagonal.


No. 13
The following is a DFT calculation (GGA-PBEsol) of crystalline TmAl at its relaxed geometry.

Unit cell a=5.7233 b=11.1736 c=5.4807 alpha=90.00 beta=90.00 gamma=90.00
With the nearest neighbours (Å) after each atom.
Space group Pbcm (No. 57)
Symmetry-distinct sites (fractional):
Tm (0.1002, 0.1690, 0.2500)  6 Al 2.98-3.22, 3 Tm 3.26-3.28
Tm (0.3404, 0.0164, 0.7500)  8 Al 2.99-3.32, 3 Tm 3.26-3.31
Al (0.1575, 0.5962, 0.7500)  2 Al 2.70, 4 Tm 2.98-3.01
Al (0.4314, 0.7500, 0.0000)  4 Al 2.70-2.74

For the energy relative to the elements, the calculation gives -0.41 eV/atom. As for the crystal system: orthorhombic.


No. 14
The following is a DFT calculation (GGA-PBEsol) of crystalline TmAl2 at its relaxed geometry.

Unit cell a=7.7259 b=7.7259 c=7.7259 alpha=90.00 beta=90.00 gamma=90.00
With the nearest neighbours (Å) after each atom.
Space group Fd-3m (No. 227, origin choice 2)
Symmetry-distinct sites (fractional):
Tm (0.1250, 0.1250, 0.1250)  12 Al 3.20, 4 Tm 3.35
Al (0.0000, 0.0000, 0.5000)  6 Al 2.73

For the energy relative to the elements, the calculation gives -0.51 eV/atom. As for the crystal system: cubic.


No. 15
The following is a DFT calculation (GGA-PBEsol) of crystalline Tm6Al43W4 at its relaxed geometry.

Unit cell a=10.8922 b=10.8922 c=17.5357 alpha=90.00 beta=90.00 gamma=120.00
With the nearest neighbours (Å) after each atom.
Space group P6_3/mcm (No. 193)
Symmetry-distinct sites (fractional):
Tm (0.0000, 0.4672, 0.0955)  15 Al 3.03-3.37
Al (0.0000, 0.1485, 0.7500)  2 W 2.57, 6 Al 2.80
Al (0.0000, 0.1603, 0.1144)  2 W 2.66-2.67, 7 Al 2.71-2.91
Al (0.0000, 0.2551, 0.5300)  9 Al 2.70-2.97, 1 W 2.83
Al (0.1480, 0.5521, 0.2500)  1 W 2.64, 7 Al 2.71-2.82
Al (0.1572, 0.3946, 0.6631)  7 Al 2.69-2.97, 1 W 2.71
Al (0.2469, 0.4939, 0.0000)  6 Al 2.70-2.82
Al (0.3333, 0.6667, 0.1249)  9 Al 2.69-2.82
W (0.0000, 0.0000, 0.0000)  12 Al 2.66-2.83
W (0.0000, 0.2719, 0.2500)  10 Al 2.57-2.71

For the energy relative to the elements, the calculation gives -0.26 eV/atom. As for the crystal system: hexagonal.


No. 16
The following is a DFT calculation (GGA-PBEsol) of crystalline TmAlZn at its relaxed geometry.

Unit cell a=4.3994 b=4.3994 c=6.8794 alpha=90.00 beta=90.00 gamma=120.00
With the nearest neighbours (Å) after each atom.
Space group P6_3/mmc (No. 194)
Symmetry-distinct sites (fractional):
Tm (0.0000, 0.0000, 0.0000)  6 Al 3.07, 6 Zn 3.07
Al (0.3333, 0.6667, 0.2500)  3 Zn 2.54
Zn (0.3333, 0.6667, 0.7500)  3 Al 2.54

For the energy relative to the elements, the calculation gives -0.44 eV/atom. As for the crystal system: hexagonal.


No. 17
The following is a DFT calculation (GGA-PBEsol) of crystalline UAl2 at its relaxed geometry.

Unit cell a=5.5258 b=5.5258 c=8.3671 alpha=90.00 beta=90.00 gamma=120.00
With the nearest neighbours (Å) after each atom.
Space group P6_3/mmc (No. 194)
Symmetry-distinct sites (fractional):
U (0.3333, 0.6667, 0.0976)  1 U 2.55
Al (0.0000, 0.0000, 0.0000)  6 Al 2.68
Al (0.1745, 0.3491, 0.7500)  6 Al 2.63-2.89

For the energy relative to the elements, the calculation gives -0.12 eV/atom. As for the crystal system: hexagonal.


No. 18
The following is a DFT calculation (GGA-PBEsol) of crystalline UAl4 at its relaxed geometry.

Unit cell a=4.3460 b=6.1027 c=13.6625 alpha=90.00 beta=90.00 gamma=90.00
With the nearest neighbours (Å) after each atom.
Space group Imma (No. 74)
Symmetry-distinct sites (fractional):
U (0.0000, 0.2500, 0.1110)  13 Al 2.98-3.08
Al (0.0000, 0.0000, 0.5000)  2 Al 2.72
Al (0.0000, 0.0207, 0.6988)  6 Al 2.58-2.85
Al (0.0000, 0.2500, 0.8892)  10 Al 2.85-3.06, 3 U 3.03-3.05

For the energy relative to the elements, the calculation gives -0.04 eV/atom. As for the crystal system: orthorhombic.


No. 19
The following is a DFT calculation (GGA-PBEsol) of crystalline UAl3 at its relaxed geometry.

Unit cell a=6.0880 b=6.0880 c=4.5927 alpha=90.00 beta=90.00 gamma=120.00
With the nearest neighbours (Å) after each atom.
Space group P6_3/mmc (No. 194)
Symmetry-distinct sites (fractional):
U (0.3333, 0.6667, 0.2500)  12 Al 2.98-3.05
Al (0.1535, 0.3070, 0.7500)  6 Al 2.80-2.81, 4 U 2.98-3.05

For the energy relative to the elements, the calculation gives -0.02 eV/atom. As for the crystal system: hexagonal.


No. 20
The following is a DFT calculation (GGA-PBEsol) of crystalline AlV2 at its relaxed geometry.

Unit cell a=3.1236 b=4.1710 c=12.5397 alpha=90.00 beta=90.00 gamma=90.00
With the nearest neighbours (Å) after each atom.
Space group Fmmm (No. 69)
Symmetry-distinct sites (fractional):
Al (0.0000, 0.0000, 0.0000)  4 Al 2.61, 4 V 2.65
V (0.0000, 0.0000, 0.3289)  6 V 2.52-2.61, 2 Al 2.65

For the energy relative to the elements, the calculation gives -0.13 eV/atom. As for the crystal system: orthorhombic.